Entry 1:
This record from Alexandria via LeMat-Bulk describes a relaxed structure of La2Ni2W. The functional is PBE.

Properties
calculated total energy = -66.823 eV/cell
E above lowest polymorph = 0.0 meV/atom
SG = P4/mbm
ΔH_f (0 K) = 0.192 eV per atom
volume = 208.5 Å³ per cell

Cell lengths 6.7511, 6.7511, 4.5744 Å; angles 90.00, 90.00, 90.00 degrees
Fractional positions:
La: 0.1795 0.3204 0.0000
La: 0.3204 0.8204 0.0000
La: 0.6796 0.1795 0.0000
La: 0.8204 0.6796 0.0000
Ni: 0.1371 0.6371 0.5000
Ni: 0.3629 0.1371 0.5000
Ni: 0.6371 0.8629 0.5000
Ni: 0.8629 0.3629 0.5000
W: 0.0000 0.0000 0.5000
W: 0.5000 0.5000 0.5000



Entry 2:
This record from Alexandria via LeMat-Bulk describes a relaxed structure of LaNiW4. The functional is PBE.

Properties
calculated total energy = -58.310 eV/cell
SG = F-43m
ΔH_f (0 K) = 0.702 eV per atom
volume = 114.5 Å³ per cell

Cell lengths 5.4513, 5.4513, 5.4513 Å; angles 60.00, 60.00, 60.00 degrees
Fractional positions:
La: 0.0000 0.0000 0.0000
Ni: 0.7500 0.7500 0.7500
W: 0.3747 0.3747 0.3747
W: 0.3747 0.3747 0.8759
W: 0.3747 0.8759 0.3747
W: 0.8759 0.3747 0.3747



Copy entry 1 word for word.
This record from Alexandria via LeMat-Bulk describes a relaxed structure of La2Ni2W. The functional is PBE.

Properties
calculated total energy = -66.823 eV/cell
E above lowest polymorph = 0.0 meV/atom
SG = P4/mbm
ΔH_f (0 K) = 0.192 eV per atom
volume = 208.5 Å³ per cell

Cell lengths 6.7511, 6.7511, 4.5744 Å; angles 90.00, 90.00, 90.00 degrees
Fractional positions:
La: 0.1795 0.3204 0.0000
La: 0.3204 0.8204 0.0000
La: 0.6796 0.1795 0.0000
La: 0.8204 0.6796 0.0000
Ni: 0.1371 0.6371 0.5000
Ni: 0.3629 0.1371 0.5000
Ni: 0.6371 0.8629 0.5000
Ni: 0.8629 0.3629 0.5000
W: 0.0000 0.0000 0.5000
W: 0.5000 0.5000 0.5000



Look up the volume of the first one.
208.5 Å³ per cell